First-principles (PBE) data for Er8Al2Sn after structural relaxation, as listed in Alexandria via LeMat-Bulk.

Geometry as CIF:
```
data_Er8Al2Sn
_cell_length_a 16.509
_cell_length_b 4.879
_cell_length_c 7.869
_cell_angle_alpha 90.00
_cell_angle_beta 111.63
_cell_angle_gamma 90.00
_symmetry_space_group_name_H-M 'C 1 2/m 1'
_symmetry_Int_Tables_number 12
loop_
_symmetry_equiv_pos_as_xyz
'x,y,z'
'-x,-y,-z'
'-x,y,-z'
'x,-y,z'
'x+1/2,y+1/2,z'
'-x+1/2,-y+1/2,-z'
'-x+1/2,y+1/2,-z'
'x+1/2,-y+1/2,z'
loop_
_atom_site_label
_atom_site_fract_x
_atom_site_fract_y
_atom_site_fract_z
_atom_site_occupancy
Er1 0.050 0.000 0.229 1
Er2 0.104 0.500 0.960 1
Er3 0.156 0.000 0.723 1
Er4 0.180 0.500 0.441 1
Al1 0.219 0.000 0.153 1
Sn1 0.000 0.500 0.500 1
```



First-principles (PBE) data for Er6Al2Sn after structural relaxation, as listed in Alexandria via LeMat-Bulk.

Geometry as CIF:
```
data_Er6Al2Sn
_cell_length_a 9.504
_cell_length_b 9.715
_cell_length_c 10.602
_cell_angle_alpha 90.00
_cell_angle_beta 90.00
_cell_angle_gamma 90.00
_symmetry_space_group_name_H-M 'I m m m'
_symmetry_Int_Tables_number 71
_symmetry_space_group_name_Hall '-I 2 2'
loop_
_atom_site_label
_atom_site_fract_x
_atom_site_fract_y
_atom_site_fract_z
_atom_site_occupancy
Er1 0.000 0.206 0.178 1
Er2 0.185 0.225 0.500 1
Er3 0.203 0.500 0.257 1
Al1 0.000 0.000 0.379 1
Al2 0.143 0.000 0.000 1
Sn1 0.000 0.500 0.000 1
Sn2 0.000 0.500 0.500 1
```



no.,formation energy (eV/atom)
1,-0.26
2,-0.36